This record from Alexandria describes GaCN3 after structural relaxation. The functional is PBE.

Summary:
Space group: Pm-3m, No. 221
E (Ry per atom): -0.3176
Volume (Å³ per cell): 58.3

Lattice parameters (Å, degrees): 3.877 3.877 3.877 90.00 90.00 90.00
Each line ends with the local moment (μB).
Sites, in units of the cell vectors:
1 N 0.000 0.500 0.000  1.12
2 N 0.000 0.000 0.500  0.97
3 N 0.500 0.000 0.000  1.06
4 Ga 0.000 0.000 0.000  0.05
5 C 0.500 0.500 0.500  -0.56



This record from Alexandria describes SmScTlZn after structural relaxation. The functional is PBE.

Summary:
Space group: F-43m, No. 216
E (Ry per atom): -0.2919
Volume (Å³ per cell): 96.2
Offset from the most stable computed form (meV/atom): 37
Energy of formation (eV/f.u.): -1.2

Lattice parameters (Å, degrees): 5.144 5.144 5.144 60.00 60.00 60.00
Sites, in units of the cell vectors:
1 Sc 0.000 0.000 0.000
2 Zn 0.250 0.250 0.250
3 Tl 0.750 0.750 0.750
4 Sm 0.500 0.500 0.500



This record from Alexandria describes Ca2OsPt after structural relaxation. The functional is PBE.

Summary:
Space group: Fm-3m, No. 225
E (Ry per atom): -0.3817
Volume (Å³ per cell): 81.7
Offset from the most stable computed form (meV/atom): 197
Energy of formation (eV/f.u.): 0.5

Lattice parameters (Å, degrees): 4.871 4.871 4.871 60.00 60.00 60.00
Sites, in units of the cell vectors:
1 Pt 0.500 0.500 0.500
2 Ca 0.250 0.250 0.250
3 Ca 0.750 0.750 0.750
4 Os 0.000 0.000 0.000



This record from Alexandria describes Cs2PCl7 after structural relaxation. The functional is PBE.

Summary:
Space group: Fm-3m, No. 225
E (Ry per atom): -0.2286
Volume (Å³ per cell): 308.2

Lattice parameters (Å, degrees): 7.579 7.579 7.583 60.01 60.01 90.00
Sites, in units of the cell vectors:
1 Cl 0.706 0.706 0.587
2 Cl 0.706 0.294 0.000
3 Cl 0.000 0.000 0.000
4 Cl 0.294 0.294 0.413
5 Cl 0.294 0.294 0.000
6 Cl 0.294 0.706 0.000
7 Cl 0.706 0.706 0.000
8 P 0.500 0.500 0.000
9 Cs 0.750 0.250 0.500
10 Cs 0.250 0.750 0.500



This record from Alexandria describes Ag3OsCl7 after structural relaxation. The functional is PBE.

Summary:
Space group: Cm, No. 8
E (Ry per atom): -0.2480
Volume (Å³ per cell): 299.7

Lattice parameters (Å, degrees): 7.157 7.157 7.126 67.18 67.18 68.38
Each line ends with the local moment (μB).
Sites, in units of the cell vectors:
1 Cl 0.696 0.114 0.173  0.03
2 Cl 0.540 0.540 0.577  0.04
3 Cl 0.146 0.146 0.171  0.03
4 Cl 0.975 0.389 0.737  0.10
5 Cl 0.114 0.696 0.173  0.03
6 Cl 0.930 0.930 0.757  0.04
7 Cl 0.389 0.975 0.737  0.10
8 Os 0.049 0.049 0.948  1.29
9 Ag 0.192 0.699 0.500  0.04
10 Ag 0.699 0.192 0.500  0.04
11 Ag 0.397 0.397 0.976  0.03



This record from Alexandria describes ZrAl2Ag2 after structural relaxation. The functional is PBE.

Summary:
Space group: P4/mbm, No. 127
E (Ry per atom): -0.3274
Volume (Å³ per cell): 178.6
Offset from the most stable computed form (meV/atom): 59
Energy of formation (eV/f.u.): -0.5

Lattice parameters (Å, degrees): 7.828 7.828 2.914 90.00 90.00 90.00
Sites, in units of the cell vectors:
1 Al 0.139 0.361 0.000
2 Al 0.361 0.861 0.000
3 Al 0.639 0.139 0.000
4 Al 0.861 0.639 0.000
5 Ag 0.158 0.658 0.500
6 Ag 0.842 0.342 0.500
7 Ag 0.342 0.158 0.500
8 Ag 0.658 0.842 0.500
9 Zr 0.000 0.000 0.000
10 Zr 0.500 0.500 0.000



This record from Alexandria describes Sr2Be3SnAu12 after structural relaxation. The functional is PBE.

Summary:
Space group: R-3m, No. 166
E (Ry per atom): -0.2479
Volume (Å³ per cell): 403.0
Energy of formation (eV/f.u.): -2.8

Lattice parameters (Å, degrees): 8.270 8.270 8.270 60.34 60.34 60.34
Sites, in units of the cell vectors:
1 Au 0.899 0.336 0.336
2 Au 0.122 0.602 0.122
3 Au 0.664 0.101 0.664
4 Au 0.878 0.398 0.878
5 Au 0.602 0.122 0.122
6 Au 0.664 0.664 0.101
7 Au 0.336 0.899 0.336
8 Au 0.101 0.664 0.664
9 Au 0.878 0.878 0.398
10 Au 0.336 0.336 0.899
11 Au 0.398 0.878 0.878
12 Au 0.122 0.122 0.602
13 Sr 0.394 0.394 0.394
14 Sr 0.606 0.606 0.606
15 Sn 0.000 0.000 0.000
16 Be 0.000 0.500 0.000
17 Be 0.500 0.000 0.000
18 Be 0.000 0.000 0.500



This record from Alexandria describes HfV2Bi after structural relaxation. The functional is PBE.

Summary:
Space group: Fm-3m, No. 225
E (Ry per atom): -0.5666
Volume (Å³ per cell): 73.2
Offset from the most stable computed form (meV/atom): 0
Energy of formation (eV/f.u.): 1.2

Lattice parameters (Å, degrees): 4.696 4.696 4.696 60.00 60.00 60.00
Each line ends with the local moment (μB).
Sites, in units of the cell vectors:
1 Hf 0.000 0.000 0.000  0.08
2 Bi 0.500 0.500 0.500  -0.03
3 V 0.250 0.250 0.250  1.36
4 V 0.750 0.750 0.750  1.36



This record from Alexandria describes PtRh2W2 after structural relaxation. The functional is PBE.

Summary:
Space group: P4/mbm, No. 127
E (Ry per atom): -0.6860
Volume (Å³ per cell): 157.2
Offset from the most stable computed form (meV/atom): 177
Energy of formation (eV/f.u.): 0.0

Lattice parameters (Å, degrees): 7.507 7.507 2.789 90.00 90.00 90.00
Sites, in units of the cell vectors:
1 W 0.330 0.170 0.500
2 W 0.670 0.830 0.500
3 W 0.170 0.670 0.500
4 W 0.830 0.330 0.500
5 Rh 0.373 0.873 0.000
6 Rh 0.127 0.373 0.000
7 Rh 0.627 0.127 0.000
8 Rh 0.873 0.627 0.000
9 Pt 0.000 0.000 0.000
10 Pt 0.500 0.500 0.000



This record from Alexandria describes SrI2N after structural relaxation. The functional is PBE.

Summary:
Space group: Fm-3m, No. 225
E (Ry per atom): -0.2385
Volume (Å³ per cell): 131.8
Offset from the most stable computed form (meV/atom): 406

Lattice parameters (Å, degrees): 5.712 5.712 5.712 60.00 60.00 60.00
Each line ends with the local moment (μB).
Sites, in units of the cell vectors:
1 I 0.750 0.750 0.750  0.09
2 I 0.250 0.250 0.250  0.09
3 Sr 0.500 0.500 0.500  0.01
4 N 0.000 0.000 0.000  1.82



This record from Alexandria describes Mg2Al2SiIr5 after structural relaxation. The functional is PBE.

Summary:
Space group: P4/mbm, No. 127
E (Ry per atom): -0.4811
Volume (Å³ per cell): 305.2

Lattice parameters (Å, degrees): 3.062 9.984 9.984 90.00 90.00 90.00
Sites, in units of the cell vectors:
1 Ir 0.500 0.813 0.929
2 Ir 0.500 0.687 0.429
3 Ir 0.500 0.187 0.071
4 Ir 0.500 0.071 0.813
5 Ir 0.500 0.571 0.687
6 Ir 0.500 0.500 0.000
7 Ir 0.500 0.313 0.571
8 Ir 0.500 0.000 0.500
9 Ir 0.500 0.929 0.187
10 Ir 0.500 0.429 0.313
11 Al 0.000 0.367 0.133
12 Al 0.000 0.867 0.367
13 Al 0.000 0.633 0.867
14 Al 0.000 0.133 0.633
15 Si 0.000 0.500 0.500
16 Si 0.000 0.000 0.000
17 Mg 0.000 0.168 0.332
18 Mg 0.000 0.668 0.168
19 Mg 0.000 0.332 0.832
20 Mg 0.000 0.832 0.668



no.,size of the total moment (μB per formula unit)
1,3.4
2,0.0
3,0.0
4,0.0
5,2.0
6,0.0
7,0.0
8,3.2
9,0.0
10,3.0
11,0.0